No. 1
This record from Alexandria describes a relaxed TmThMnC3 crystal. The functional is PBE.

Structure (POSCAR):
```
TmThMnC3
1.0
-0.976 -3.048 1.524
0.101 -3.370 -6.675
6.873 -1.636 1.129
Th C Tm Mn
2 6 2 2
direct
0.750 0.386 0.803
0.250 0.614 0.197
0.750 0.887 0.170
0.250 0.620 0.859
0.750 0.380 0.141
0.250 0.850 0.495
0.750 0.150 0.505
0.250 0.113 0.830
0.750 0.852 0.829
0.250 0.148 0.171
0.750 0.912 0.416
0.250 0.088 0.584
```

## Properties
V	15.8	Å³ per atom
total moment	0.0	μB per cell
formation enthalpy at 0 K	-74	meV per atom
density of states at the Fermi level	3.521	states/eV/f.u.
crystal system	monoclinic

No. 2
This record from Alexandria describes a relaxed AsRhPb2 crystal. The functional is PBE.

Structure (POSCAR):
```
AsRhPb2
1.0
-3.064 -3.899 1.882
2.609 -4.405 -1.388
1.873 4.231 2.594
Pb As Rh
2 1 1
direct
0.250 0.750 0.500
0.000 0.000 0.000
0.750 0.250 0.500
0.500 0.500 0.000
```

## Properties
V	22.5	Å³ per atom
total moment	0.0	μB per cell
formation enthalpy at 0 K	262	meV per atom
density of states at the Fermi level	2.545	states/eV/f.u.
crystal system	tetragonal

No. 3
This record from Alexandria describes a relaxed Zn2AsO4F crystal. The functional is PBE.

Structure (POSCAR):
```
Zn2AsO4F
1.0
2.939 0.000 0.000
1.470 5.451 -0.603
1.470 0.378 5.944
O Zn As F
4 2 1 1
direct
0.364 0.228 0.044
0.636 0.772 0.956
0.859 0.974 0.307
0.141 0.026 0.693
0.811 0.780 0.597
0.189 0.220 0.403
0.000 0.000 0.000
0.500 0.500 0.500
```

## Properties
V	12.0	Å³ per atom
total moment	0.0	μB per cell
crystal system	monoclinic
formation energy from raw total energies	-1353	meV per atom

No. 4
This record from Alexandria describes a relaxed CaAl3Sb crystal. The functional is PBE.

Structure (POSCAR):
```
CaAl3Sb
1.0
5.365 0.000 0.000
0.000 5.365 0.000
0.000 0.000 5.365
Al Ca Sb
3 1 1
direct
0.000 0.500 0.000
0.000 0.000 0.500
0.500 0.000 0.000
0.500 0.500 0.500
0.000 0.000 0.000
```

## Properties
ΔE to the lowest computed polymorph	0.000	eV per atom
V	30.9	Å³ per atom
total moment	0.0	μB per cell
density of states at the Fermi level	4.049	states/eV/f.u.
crystal system	cubic
formation energy from raw total energies	547	meV per atom

No. 5
This record from Alexandria describes a relaxed La4Pr15Tm crystal. The functional is PBE.

Structure (POSCAR):
```
La4Pr15Tm
1.0
5.254 0.000 0.000
0.000 5.254 0.000
0.000 0.000 26.215
Pr La Tm
15 4 1
direct
0.000 0.500 0.299
0.500 0.500 0.601
0.500 0.500 0.802
0.500 0.000 0.903
0.000 0.500 0.500
0.500 0.000 0.500
0.500 0.500 0.000
0.500 0.000 0.701
0.500 0.500 0.198
0.000 0.500 0.701
0.000 0.500 0.097
0.500 0.000 0.097
0.500 0.500 0.399
0.000 0.500 0.903
0.500 0.000 0.299
0.000 0.000 0.399
0.000 0.000 0.801
0.000 0.000 0.601
0.000 0.000 0.199
0.000 0.000 0.000
```

## Properties
V	36.2	Å³ per atom
total moment	0.0	μB per cell
formation enthalpy at 0 K	14	meV per atom
density of states at the Fermi level	32.681	states/eV/f.u.
crystal system	tetragonal

No. 6
This record from Alexandria describes a relaxed ZnSiN3 crystal. The functional is PBE.

Structure (POSCAR):
```
ZnSiN3
1.0
3.597 0.000 0.000
0.000 3.597 0.000
0.000 0.000 3.597
N Zn Si
3 1 1
direct
0.000 0.500 0.000
0.000 0.000 0.500
0.500 0.000 0.000
0.500 0.500 0.500
0.000 0.000 0.000
```

## Properties
V	9.3	Å³ per atom
total moment	0.6	μB per cell
density of states at the Fermi level	3.184	states/eV/f.u.
crystal system	cubic
formation energy from raw total energies	786	meV per atom

No. 7
This record from Alexandria describes a relaxed ZrBeW3 crystal. The functional is PBE.

Structure (POSCAR):
```
ZrBeW3
1.0
-2.108 -3.741 0.718
3.808 -2.082 0.332
0.058 0.789 4.281
Be W Zr
1 3 1
direct
0.000 0.000 0.000
0.000 0.500 0.000
0.500 0.000 0.000
0.000 0.000 0.500
0.500 0.500 0.500
```

## Properties
ΔE to the lowest computed polymorph	0.000	eV per atom
V	16.5	Å³ per atom
total moment	0.0	μB per cell
formation enthalpy at 0 K	658	meV per atom
density of states at the Fermi level	4.811	states/eV/f.u.
crystal system	cubic

No. 8
This record from Alexandria describes a relaxed La4Pt crystal. The functional is PBE.

Structure (POSCAR):
```
La4Pt
1.0
-7.322 2.898 1.848
-4.807 2.868 -5.840
-6.634 -4.097 -2.154
La Pt
8 2
direct
0.417 0.861 0.861
0.861 0.861 0.417
0.833 0.389 0.389
0.389 0.389 0.389
0.861 0.417 0.861
0.389 0.833 0.389
0.389 0.389 0.833
0.861 0.861 0.861
0.250 0.250 0.250
0.000 0.000 0.000
```

## Properties
ΔE to the lowest computed polymorph	0.293	eV per atom
V	37.4	Å³ per atom
total moment	0.0	μB per cell
formation enthalpy at 0 K	-142	meV per atom
density of states at the Fermi level	6.412	states/eV/f.u.
crystal system	cubic

No. 9
This record from Alexandria describes a relaxed Li12Tl2Pd5 crystal. The functional is PBE.

Structure (POSCAR):
```
Li12Tl2Pd5
1.0
-4.437 -1.395 -4.775
4.099 -4.992 -3.027
-1.646 -6.386 2.718
Li Pd Tl
12 5 2
direct
0.826 0.075 0.434
0.174 0.566 0.925
0.174 0.925 0.566
0.568 0.855 0.374
0.179 0.128 0.128
0.432 0.145 0.626
0.821 0.872 0.872
0.719 0.446 0.446
0.568 0.374 0.855
0.281 0.554 0.554
0.826 0.434 0.075
0.432 0.626 0.145
0.877 0.649 0.649
0.500 0.243 0.243
0.123 0.351 0.351
0.500 0.757 0.757
0.500 0.000 0.000
0.000 0.759 0.241
0.000 0.241 0.759
```

## Properties
ΔE to the lowest computed polymorph	0.029	eV per atom
V	16.8	Å³ per atom
total moment	0.0	μB per cell
formation enthalpy at 0 K	-261	meV per atom
density of states at the Fermi level	6.037	states/eV/f.u.
crystal system	monoclinic

No. 10
This record from Alexandria describes a relaxed SrBeZn2B crystal. The functional is PBE.

Structure (POSCAR):
```
SrBeZn2B
1.0
4.194 0.000 0.000
0.000 5.623 0.000
0.000 0.000 4.194
Zn B Sr Be
2 1 1 1
direct
0.000 0.000 0.500
0.500 0.000 0.000
0.000 0.000 0.000
0.000 0.500 0.000
0.500 0.500 0.500
```

## Properties
V	19.8	Å³ per atom
total moment	0.0	μB per cell
formation enthalpy at 0 K	583	meV per atom
density of states at the Fermi level	3.331	states/eV/f.u.
crystal system	tetragonal

No. 11
This record from Alexandria describes a relaxed MnZn2Tc crystal. The functional is PBE.

Structure (POSCAR):
```
MnZn2Tc
1.0
9.015 0.026 0.015
8.609 2.675 0.015
8.609 1.319 2.327
Zn Mn Tc
2 1 1
direct
0.003 0.003 0.003
0.243 0.243 0.243
0.497 0.497 0.497
0.757 0.757 0.757
```

## Properties
ΔE to the lowest computed polymorph	0.068	eV per atom
V	13.8	Å³ per atom
total moment	0.0	μB per cell
formation enthalpy at 0 K	74	meV per atom
density of states at the Fermi level	3.020	states/eV/f.u.
crystal system	trigonal

No. 12
This record from Alexandria describes a relaxed TaAgPdPt crystal. The functional is PBE.

Structure (POSCAR):
```
TaAgPdPt
1.0
-0.664 0.426 2.781
1.917 -2.036 -0.732
6.847 6.198 0.685
Ag Ta Pt Pd
1 1 1 1
direct
0.667 0.333 0.660
0.667 0.333 0.162
0.000 0.000 0.924
0.000 0.000 0.400
```

## Properties
ΔE to the lowest computed polymorph	0.103	eV per atom
V	16.8	Å³ per atom
total moment	0.0	μB per cell
formation enthalpy at 0 K	-240	meV per atom
density of states at the Fermi level	3.236	states/eV/f.u.
crystal system	trigonal